TaVPbW2: optimized geometry, PBE.

Properties
ΔE_f = 1774 meV/atom
Total moment = 0.000 μB/atom
Space group = P4/mmm (123)

The structure in POSCAR format:
```
TaVPbW2
1.0
4.571 0.000 0.000
0.000 4.571 0.000
0.000 0.000 4.915
Ta V Pb W
1 1 1 2
direct
0.000 0.000 0.000
0.500 0.500 0.500
0.500 0.500 0.000
0.000 0.500 0.500
0.500 0.000 0.500
```



AcEuPuBi: optimized geometry, PBE.

Properties
ΔE_f = -5 meV/atom
Total moment = 0.034 μB/atom
Space group = F-43m (216)

The structure in POSCAR format:
```
AcEuPuBi
1.0
8.099 0.000 0.000
0.000 8.099 0.000
0.000 0.000 8.099
Ac Eu Pu Bi
4 4 4 4
direct
0.000 0.000 0.000
0.000 0.500 0.500
0.500 0.000 0.500
0.500 0.500 0.000
0.250 0.250 0.250
0.250 0.750 0.750
0.750 0.250 0.750
0.750 0.750 0.250
0.250 0.250 0.750
0.250 0.750 0.250
0.750 0.250 0.250
0.750 0.750 0.750
0.000 0.000 0.500
0.000 0.500 0.000
0.500 0.000 0.000
0.500 0.500 0.500
```